Entry 1:
Pr5CSe4: optimized geometry, PBE.

The value obtained for the total energy is -6.169 eV per atom. The mass density comes out at 6.53 g/cm3. The calculation puts the density of states at the Fermi level at 8.570 states/eV per cell. As for the energy above the most stable polymorph in this dataset: 4.3 kJ/mol of atoms. As for the total magnetic moment: 0.00 μB per cell. Its uncorrected formation energy is -1.46 eV/atom.

The space group is I4/mmm (No. 139) and the conventional cell measures 4.1908, 4.1908 and 29.9041 Å, with angles of 90.00, 90.00 and 90.00 degrees. The distinct sites, in fractional coordinates, are Pr at (0.0000, 0.0000, 0.0000), Pr at (0.0000, 0.0000, 0.2038), Pr at (0.0000, 0.0000, 0.4162), C at (0.0000, 0.0000, 0.5000), Se at (0.0000, 0.0000, 0.1002) and Se at (0.0000, 0.0000, 0.3059).

=====

Entry 2:
Pr3CSe2: optimized geometry, PBE.

The value obtained for the total energy is -6.356 eV per atom. The mass density comes out at 6.53 g/cm3. The calculation puts the density of states at the Fermi level at 7.632 states/eV per cell. As for the energy above the most stable polymorph in this dataset: 3.3 kJ/mol of atoms. As for the total magnetic moment: 0.00 μB per cell. Its uncorrected formation energy is -1.27 eV/atom.

The space group is C2/c (No. 15) and the conventional cell measures 13.3689, 5.9192 and 7.9861 Å, with angles of 90.00, 107.34 and 90.00 degrees. The distinct sites, in fractional coordinates, are Pr at (0.0000, 0.0264, 0.2500), Pr at (0.1382, 0.4994, 0.5694), C at (0.0000, 0.4678, 0.2500) and Se at (0.1744, 0.0003, 0.0873).

=====

Entry 3:
Pr6C3Se2: optimized geometry, PBE.

The value obtained for the total energy is -6.490 eV per atom. The mass density comes out at 6.23 g/cm3. The calculation puts the density of states at the Fermi level at 10.367 states/eV per cell. As for the total magnetic moment: 1.64 μB per cell. Its uncorrected formation energy is -0.73 eV/atom.

The space group is C2/m (No. 12) and the conventional cell measures 6.7408, 11.6953 and 7.3894 Å, with angles of 90.00, 107.99 and 90.00 degrees. The distinct sites, in fractional coordinates, are Pr at (0.2321, 0.1699, 0.2042), Pr at (0.2404, 0.5000, 0.1980), C at (0.0000, 0.0000, 0.0000), C at (0.0000, 0.3270, 0.0000) and Se at (0.0000, 0.1648, 0.5000).

=====

Entry 4:
Pr2CSe: optimized geometry, PBE.

The value obtained for the total energy is -6.081 eV per atom. The mass density comes out at 6.18 g/cm3. The calculation puts the density of states at the Fermi level at 12.555 states/eV per cell. As for the total magnetic moment: 0.00 μB per cell. Its uncorrected formation energy is -0.51 eV/atom.

The space group is Cmcm (No. 63) and the conventional cell measures 7.2817, 14.1939 and 3.8744 Å, with angles of 90.00, 90.00 and 90.00 degrees. The distinct sites, in fractional coordinates, are Pr at (0.2233, 0.1105, 0.2500), C at (0.0000, 0.0700, 0.7500) and Se at (0.0000, 0.2936, 0.2500).

=====

Entry 5:
Pr8Te4CSe3: optimized geometry, PBE.

The value obtained for the total energy is -5.857 eV per atom. The mass density comes out at 6.69 g/cm3. The calculation puts the density of states at the Fermi level at 21.839 states/eV per cell. As for the total magnetic moment: 0.00 μB per cell. Its uncorrected formation energy is -1.45 eV/atom.

The space group is R-3m (No. 166, hexagonal axes) and the conventional cell measures 8.6115, 8.6115 and 21.8895 Å, with angles of 90.00, 90.00 and 120.00 degrees. The distinct sites, in fractional coordinates, are Pr at (0.0000, 0.0000, 0.2409), Pr at (0.0320, 0.5160, 0.2354), Te at (0.0000, 0.0000, 0.0000), Te at (0.0000, 0.5000, 0.0000), C at (0.0000, 0.0000, 0.5000) and Se at (0.0000, 0.5000, 0.5000).

=====

Entry 6:
Pr4Te2CSe: optimized geometry, PBE.

The value obtained for the total energy is -5.983 eV per atom. The mass density comes out at 6.70 g/cm3. The calculation puts the density of states at the Fermi level at 3.161 states/eV per cell. As for the total magnetic moment: 0.00 μB per cell. Its uncorrected formation energy is -1.22 eV/atom.

The space group is P2/m (No. 10) and the conventional cell measures 7.3929, 4.1858 and 7.6726 Å, with angles of 90.00, 108.19 and 90.00 degrees. The distinct sites, in fractional coordinates, are Pr at (0.2102, 0.0000, 0.2008), Pr at (0.2312, 0.5000, 0.7924), Te at (0.0000, 0.0000, 0.5000), Te at (0.5000, 0.5000, 0.5000), C at (0.0000, 0.5000, 0.0000) and Se at (0.5000, 0.0000, 0.0000).

=====

Entry 7:
PrUCSe2: optimized geometry, PBE.

The value obtained for the total energy is -7.516 eV per atom. The mass density comes out at 7.65 g/cm3. The calculation puts the density of states at the Fermi level at 9.461 states/eV per cell. As for the total magnetic moment: 1.46 μB per cell. Its uncorrected formation energy is -1.06 eV/atom.

The space group is P4/nmm (No. 129, origin choice 2) and the conventional cell measures 3.9650, 3.9650 and 15.1570 Å, with angles of 90.00, 90.00 and 90.00 degrees. The distinct sites, in fractional coordinates, are Pr at (0.2500, 0.2500, 0.1339), U at (0.2500, 0.2500, 0.5760), C at (0.2500, 0.7500, 0.5000), Se at (0.2500, 0.2500, 0.3237) and Se at (0.2500, 0.2500, 0.9155).

=====

Entry 8:
PrSiTc2C: optimized geometry, PBE.

The value obtained for the total energy is -8.500 eV per atom. The mass density comes out at 7.68 g/cm3. The calculation puts the density of states at the Fermi level at 10.003 states/eV per cell. As for the total magnetic moment: 0.00 μB per cell. Its uncorrected formation energy is -0.47 eV/atom.

The space group is Cmcm (No. 63) and the conventional cell measures 4.0091, 11.0048 and 7.3886 Å, with angles of 90.00, 90.00 and 90.00 degrees. The distinct sites, in fractional coordinates, are Pr at (0.0000, 0.0449, 0.2500), Si at (0.0000, 0.2322, 0.7500), Tc at (0.0000, 0.3271, 0.0598) and C at (0.0000, 0.5000, 0.0000).

=====

Entry 9:
Pr4Sm2C: optimized geometry, PBE.

The value obtained for the total energy is -5.180 eV per atom. The mass density comes out at 6.23 g/cm3. The calculation puts the density of states at the Fermi level at 19.040 states/eV per cell. As for the total magnetic moment: 0.00 μB per cell. As for the formation enthalpy at 0 K: 216.7 meV per atom.

The space group is I4/mmm (No. 139) and the conventional cell measures 5.1142, 5.1142 and 17.8726 Å, with angles of 90.00, 90.00 and 90.00 degrees. The distinct sites, in fractional coordinates, are Pr at (0.0000, 0.0000, 0.1389), Pr at (0.0000, 0.5000, 0.0000), Sm at (0.0000, 0.0000, 0.3271) and C at (0.0000, 0.0000, 0.0000).

=====

Entry 10:
PrSmC4: optimized geometry, PBE.

The value obtained for the total energy is -7.848 eV per atom. The mass density comes out at 5.94 g/cm3. The calculation puts the density of states at the Fermi level at 1.369 states/eV per cell. As for the total magnetic moment: 0.00 μB per cell. As for the formation enthalpy at 0 K: -115.9 meV per atom.

The space group is P2/m (No. 10) and the conventional cell measures 3.8336, 3.8337 and 6.4499 Å, with angles of 90.00, 90.09 and 90.00 degrees. The distinct sites, in fractional coordinates, are Pr at (0.0000, 0.0000, 0.0000), Sm at (0.5000, 0.5000, 0.5000), C at (0.0004, 0.0000, 0.3996) and C at (0.5000, 0.5000, 0.1009).